[1]
Density functional theory data (PBE-GGA) for a relaxed structure of Er7Bi3C2.

abc: 4.869 4.813 12.700
angles: 90.00 101.05 90.00
Atoms (fractional coordinates):
1 Er 0.805 0.000 0.611
2 Er 0.000 0.000 0.000
3 C 0.901 0.000 0.801
4 Er 0.404 0.000 0.808
5 Bi 0.500 0.500 0.000
6 Bi 0.690 0.500 0.379
7 Er 0.195 0.000 0.389
8 Bi 0.310 0.500 0.621
9 Er 0.596 0.000 0.192
10 Er 0.096 0.500 0.193
11 Er 0.904 0.500 0.807
12 C 0.099 0.000 0.199

## Properties
polymorph energy (0 for the lowest one) = 0.0000 eV/atom
final energy = -5.74 eV per atom
calculated formation energy = -663 kJ/mol of formula units


[2]
Density functional theory data (PBE-GGA) for a relaxed structure of Er2BiC.

abc: 3.647 3.647 8.022
angles: 76.86 76.86 60.00
Atoms (fractional coordinates):
1 Bi 0.500 0.500 0.500
2 C 0.000 0.000 0.000
3 Er 0.278 0.278 0.167
4 Er 0.722 0.722 0.833

## Properties
final energy = -6.16 eV per atom
calculated formation energy = -232 kJ/mol of formula units


[3]
Density functional theory data (PBE-GGA) for a relaxed structure of Er4BiC2.

abc: 3.762 6.459 12.871
angles: 90.00 90.00 106.93
Atoms (fractional coordinates):
1 C 0.136 0.273 0.058
2 Er 0.500 0.000 0.500
3 Er 0.242 0.484 0.900
4 Er 0.242 0.484 0.600
5 C 0.864 0.727 0.558
6 Er 0.758 0.516 0.100
7 Er 0.500 0.000 0.000
8 C 0.864 0.727 0.942
9 Bi 0.610 0.219 0.750
10 Bi 0.390 0.781 0.250
11 Er 0.912 0.824 0.750
12 C 0.136 0.273 0.442
13 Er 0.758 0.516 0.400
14 Er 0.088 0.176 0.250

## Properties
polymorph energy (0 for the lowest one) = 0.0000 eV/atom
final energy = -6.26 eV per atom
calculated formation energy = -314 kJ/mol of formula units